No. 1
## GaAg2Pd (PBE)

Data for GaAg2Pd after structural relaxation.

Geometry as extended XYZ:
```
4
Lattice="4.251 0.000 0.000 0.000 3.941 0.000 0.000 0.000 3.941" Properties=species:S:1:pos:R:3 pbc="T T T"
Ag 0.000 1.970 0.000
Ga 2.125 1.970 1.970
Pd 2.125 0.000 0.000
Ag 0.000 0.000 1.970
```

DFT total energy, eV per atom: -3.665
D(E_F), states/eV per cell: 1.275
DFT formation energy, eV per atom: -0.1846

No. 2
## Ga8Ag6Pd (PBE)

Data for Ga8Ag6Pd after structural relaxation.

Geometry as extended XYZ:
```
15
Lattice="-5.662 3.374 2.320 -4.098 -3.830 4.167 0.312 1.797 6.745" Properties=species:S:1:pos:R:3 pbc="T T T"
Ag -6.030 2.342 7.158
Ga -7.910 1.063 5.668
Ga -2.662 0.378 3.729
Ga -5.010 3.444 4.762
Ag -5.354 0.696 4.519
Ga -5.697 -1.983 4.823
Ag -3.417 -1.000 6.074
Pd 0.000 0.000 0.000
Ga -1.537 0.278 7.563
Ga -4.437 -2.102 8.469
Ag -6.364 -0.646 7.223
Ga -6.785 0.964 9.503
Ag -4.093 0.646 8.713
Ga -3.750 3.325 8.409
Ag -3.083 1.988 6.009
```

DFT total energy, eV per atom: -3.153
D(E_F), states/eV per cell: 5.259
DFT formation energy, eV per atom: -0.0525

No. 3
## Ga8AgPd2 (PBE)

Data for Ga8AgPd2 after structural relaxation.

Geometry as extended XYZ:
```
11
Lattice="-2.666 1.180 -3.322 4.568 -6.366 -5.928 -4.320 -0.298 6.301" Properties=species:S:1:pos:R:3 pbc="T T T"
Ga -1.246 -0.813 0.711
Ga -3.590 -0.142 2.830
Ga 2.552 -4.408 -3.614
Pd 0.562 -3.930 -1.847
Ga -1.012 -1.998 -2.838
Ga 1.172 -5.342 -5.779
Ga -1.406 -3.486 -0.111
Ga -4.970 -1.076 0.666
Ag 3.235 -5.775 -7.589
Ga -1.172 -4.670 -3.660
Pd -2.980 -1.553 -1.101
```

DFT total energy, eV per atom: -3.609
D(E_F), states/eV per cell: 3.486
DFT formation energy, eV per atom: -0.2044
Energy above the lowest structure with this stoichiometry, eV per formula unit: 0.000

No. 4
## Ga6AgPd2 (PBE)

Data for Ga6AgPd2 after structural relaxation.

Geometry as extended XYZ:
```
9
Lattice="-1.316 2.987 -0.335 -6.957 -1.176 0.774 2.675 3.664 6.090" Properties=species:S:1:pos:R:3 pbc="T T T"
Ga -4.264 4.161 5.635
Ga -0.480 5.736 4.811
Ag -2.141 1.244 3.432
Pd -3.898 2.023 1.209
Pd -1.700 3.453 5.321
Ga -1.334 1.315 0.894
Ga -4.816 1.898 3.699
Ga -5.119 -0.260 1.718
Ga -0.782 3.578 2.830
```

DFT total energy, eV per atom: -3.740
D(E_F), states/eV per cell: 3.454
DFT formation energy, eV per atom: -0.2510

No. 5
## GaAg3Pd6 (PBE)

Data for GaAg3Pd6 after structural relaxation.

Geometry as extended XYZ:
```
20
Lattice="-4.104 3.948 3.030 -3.256 -5.812 3.163 3.760 1.181 6.041" Properties=species:S:1:pos:R:3 pbc="T T T"
Pd -0.242 -2.103 7.283
Pd 1.142 1.050 5.906
Pd -3.358 1.421 4.952
Pd -0.009 -1.044 4.493
Ag 1.880 0.591 3.021
Pd 0.623 2.955 8.248
Pd -1.133 -0.480 2.108
Pd -4.223 -3.638 3.986
Pd -2.467 -0.203 10.126
Ag -2.799 -2.214 8.375
Pd -4.742 -1.733 6.329
Ag -3.680 -0.932 3.097
Ag -1.707 -3.138 2.946
Ga -1.800 -0.341 6.117
Ag -0.801 1.531 3.860
Pd -1.359 1.988 6.697
Ag -1.893 2.455 9.289
Pd -2.241 -2.671 5.538
Pd -3.591 0.361 7.742
Ga 0.000 0.000 0.000
```

DFT total energy, eV per atom: -4.354
D(E_F), states/eV per cell: 10.196
DFT formation energy, eV per atom: -0.0801
Energy above the lowest structure with this stoichiometry, eV per formula unit: 1.256

No. 6
## Ga6AgPd12 (PBE)

Data for Ga6AgPd12 after structural relaxation.

Geometry as extended XYZ:
```
19
Lattice="7.229 -0.138 -0.195 -1.926 6.969 -0.195 -1.926 -2.481 6.516" Properties=species:S:1:pos:R:3 pbc="T T T"
Pd 5.153 3.061 0.524
Pd 1.817 2.341 0.849
Ga 3.283 4.229 1.643
Pd 1.560 2.009 5.277
Pd -1.776 4.864 3.063
Pd 1.689 5.751 0.524
Pd 1.560 4.320 3.636
Pd 5.153 -0.514 3.063
Pd 3.799 2.582 3.636
Ga 0.094 4.193 1.592
Ga 4.038 1.131 1.592
Pd 1.817 0.030 2.490
Pd -0.422 1.768 2.490
Pd -1.776 1.289 5.602
Ga 0.094 0.121 4.483
Ga -0.661 3.220 4.534
Pd 1.689 -1.401 5.602
Ag 0.000 0.000 0.000
Ga 3.283 0.158 4.534
```

DFT total energy, eV per atom: -4.802
D(E_F), states/eV per cell: 5.425
DFT formation energy, eV per atom: -0.4162

No. 7
## GaAgPd (PBE)

Data for GaAgPd after structural relaxation.

Geometry as extended XYZ:
```
3
Lattice="2.965 0.000 0.000 0.000 4.366 0.000 0.000 -2.183 3.781" Properties=species:S:1:pos:R:3 pbc="T T T"
Pd 2.338 2.183 1.260
Ag 0.914 0.000 2.520
Ga 2.678 0.000 0.000
```

DFT total energy, eV per atom: -3.999
D(E_F), states/eV per cell: 0.917
DFT formation energy, eV per atom: -0.3089
Energy above the lowest structure with this stoichiometry, eV per formula unit: 0.000

No. 8
## Ga6Ag2Pd (PBE)

Data for Ga6Ag2Pd after structural relaxation.

Geometry as extended XYZ:
```
9
Lattice="-4.404 -3.188 0.797 0.171 -4.041 3.720 -3.473 1.534 5.884" Properties=species:S:1:pos:R:3 pbc="T T T"
Ga -2.377 -2.620 7.173
Pd -4.681 -1.263 6.959
Ga -1.089 -2.358 3.653
Ga -6.047 -3.436 6.180
Ga -1.138 -0.269 1.748
Ag -3.703 -3.134 4.882
Ag -6.266 -3.340 8.834
Ga -4.164 -0.515 4.436
Ga -3.425 -1.888 2.130
```

DFT total energy, eV per atom: -3.305
D(E_F), states/eV per cell: 1.561
DFT formation energy, eV per atom: -0.0767